Here is an optimized crystal structure of PmPrYCu from the Alexandria database. Energies are from PBE-GGA.

The structure in POSCAR format:
```
PmPrYCu
1.0
-0.002 3.558 -0.433
-2.405 0.320 2.639
6.546 0.719 5.877
Pm Pr Y Cu
1 1 1 1
direct
0.500 0.500 0.766 Pm
0.000 0.000 0.075 Pr
0.500 0.500 0.381 Y
0.000 0.000 0.563 Cu
```

Calculated values
The calculation puts the density of states at the Fermi level at 3.72 states/eV per cell. The value obtained for the total energy is -0.3752 Ry/atom. The value obtained for the formation energy is -0.082 eV per atom.


Here is an optimized crystal structure of CoNi2RhN from the Alexandria database. Energies are from PBE-GGA.

The structure in POSCAR format:
```
CoNi2RhN
1.0
-1.445 -1.703 -3.000
0.215 -3.291 1.765
-3.728 0.551 1.483
Ni N Rh Co
2 1 1 1
direct
0.000 0.500 0.000 Ni
0.500 0.000 0.000 Ni
0.000 0.000 0.000 N
0.000 0.000 0.500 Rh
0.500 0.500 0.500 Co
```

Calculated values
The calculation puts the density of states at the Fermi level at 8.71 states/eV per cell. The value obtained for the total energy is -0.4874 Ry/atom. As for the relative energy among the computed polymorphs: 118 meV/atom. As for the energy relative to the elements, uncorrected: 0.238 eV/atom.


Here is an optimized crystal structure of BeTcAs from the Alexandria database. Energies are from PBE-GGA.

The structure in POSCAR format:
```
BeTcAs
1.0
-3.619 0.096 -1.816
0.875 -2.966 2.615
-1.101 1.688 2.283
Be As Tc
1 1 1
direct
0.667 0.333 0.289 Be
0.000 0.000 0.897 As
0.333 0.667 0.814 Tc
```

Calculated values
The calculation puts the density of states at the Fermi level at 1.92 states/eV per cell. The value obtained for the total energy is -0.4370 Ry/atom. The value obtained for the formation energy is 0.302 eV per atom. As for the relative energy among the computed polymorphs: 587 meV/atom.


Here is an optimized crystal structure of CuReHg2 from the Alexandria database. Energies are from PBE-GGA.

The structure in POSCAR format:
```
CuReHg2
1.0
2.785 0.479 0.000
-0.387 2.800 0.000
0.000 0.000 9.014
Cu Hg Re
1 2 1
direct
0.500 0.500 0.725 Cu
0.000 0.000 0.965 Hg
0.500 0.500 0.278 Hg
0.000 0.000 0.532 Re
```

Calculated values
The calculation puts the density of states at the Fermi level at 2.97 states/eV per cell. The value obtained for the total energy is -0.2721 Ry/atom. The value obtained for the formation energy is 0.585 eV per atom. As for the relative energy among the computed polymorphs: 40 meV/atom.


no.,total moment (μB/atom)
1,0.000
2,0.666
3,0.000
4,0.000